Here is a relaxed structure of RbAs3Os from the Alexandria database. Energies are from PBE.

* Fermi-level density of states: 9.11 states/eV per cell
* mass density: 5.8 g/cm3
* energy of formation from the pure elements: 2.914 eV per atom
* M_tot: 0.00 μB/cell
* energy relative to the lowest polymorph listed for this composition: 2496.1 meV/atom

Cell: 5.2224 5.2224 5.2224 Å, 90.00 90.00 90.00°
With the nearest neighbours (Å) after each atom.
Fractional positions:
Os1 0.5000 0.5000 0.5000  12 As 3.69
As1 0.0000 0.0000 0.5000  2 Rb 2.61
As2 0.0000 0.5000 0.0000  2 Rb 2.61
As3 0.5000 0.0000 0.0000  2 Rb 2.61
Rb1 0.0000 0.0000 0.0000  6 As 2.61

=====

Here is a relaxed structure of Tb2Ga5Cu3 from the Alexandria database. Energies are from PBE.

* Fermi-level density of states: 4.70 states/eV per cell
* mass density: 7.9 g/cm3
* energy of formation from the pure elements: -0.382 eV per atom
* M_tot: 0.00 μB/cell
* energy relative to the lowest polymorph listed for this composition: 100.3 meV/atom

Cell: 4.2205 4.2205 10.1603 Å, 90.00 90.00 90.00°
With the nearest neighbours (Å) after each atom.
Fractional positions:
Ga1 0.5000 0.0000 0.8462  1 Cu 2.32
Ga2 0.5000 0.5000 0.5000  4 Cu 2.43
Ga3 0.0000 0.5000 0.1538  1 Cu 2.32
Ga4 0.0000 0.0000 0.0000  4 Ga 2.63
Ga5 0.5000 0.5000 0.0000  4 Ga 2.63
Cu1 0.0000 0.0000 0.5000  4 Cu 2.43
Cu2 0.0000 0.5000 0.3823  3 Ga 2.32-2.43, 2 Cu 2.43
Cu3 0.5000 0.0000 0.6177  3 Ga 2.32-2.43, 2 Cu 2.43
Tb1 0.0000 0.5000 0.7323  6 Cu 3.17-3.20, 10 Ga 3.17-3.44
Tb2 0.5000 0.0000 0.2677  10 Ga 3.17-3.44, 6 Cu 3.17-3.20

=====

Here is a relaxed structure of Ac5Ho3Se8 from the Alexandria database. Energies are from PBE.

* Fermi-level density of states: 7.86 states/eV per cell
* mass density: 8.2 g/cm3
* M_tot: 0.00 μB/cell

Cell: 8.4908 8.4908 8.7904 Å, 61.12 61.12 60.00°
With the nearest neighbours (Å) after each atom.
Fractional positions:
Ac1 0.0000 0.0000 0.0000  6 Se 3.08
Ac2 0.5000 0.0000 0.0000  6 Se 3.20-3.21
Ac3 0.0000 0.5000 0.0000  6 Se 3.20-3.21
Ac4 0.5000 0.5000 0.5000  6 Se 3.05
Ac5 0.5000 0.5000 0.0000  6 Se 3.20-3.21
Ho1 0.5000 0.0000 0.5000  6 Se 2.91-2.92
Ho2 0.0000 0.0000 0.5000  6 Se 2.91-2.92
Ho3 0.0000 0.5000 0.5000  6 Se 2.91-2.92
Se1 0.2268 0.7497 0.2737  2 Ho 2.91, 4 Ac 3.05-3.21
Se2 0.7732 0.2503 0.7263  2 Ho 2.91, 4 Ac 3.05-3.21
Se3 0.7497 0.2268 0.2737  2 Ho 2.91, 4 Ac 3.05-3.21
Se4 0.2392 0.2392 0.2824  3 Ho 2.92, 3 Ac 3.20
Se5 0.7608 0.7608 0.7176  3 Ho 2.92, 3 Ac 3.20
Se6 0.2503 0.7732 0.7263  2 Ho 2.91, 4 Ac 3.05-3.21
Se7 0.7497 0.7497 0.2737  2 Ho 2.91, 4 Ac 3.05-3.21
Se8 0.2503 0.2503 0.7263  2 Ho 2.91, 4 Ac 3.05-3.21

=====

Here is a relaxed structure of Be2SbPb from the Alexandria database. Energies are from PBE.

* Fermi-level density of states: 2.09 states/eV per cell
* mass density: 7.2 g/cm3
* M_tot: 0.00 μB/cell
* energy relative to the lowest polymorph listed for this composition: 415.0 meV/atom

Cell: 6.1885 6.1885 6.1885 Å, 144.34 144.34 51.32°
With the nearest neighbours (Å) after each atom.
Fractional positions:
Be1 0.0000 0.0000 0.0000  4 Pb 2.68
Be2 0.2500 0.7500 0.5000  4 Sb 2.68
Sb1 0.7500 0.2500 0.5000  4 Be 2.68
Pb1 0.5000 0.5000 0.0000  4 Be 2.68

=====

Here is a relaxed structure of LaTbDy2P4 from the Alexandria database. Energies are from PBE.

* Fermi-level density of states: 1.24 states/eV per cell
* mass density: 6.4 g/cm3
* energy of formation from the pure elements: -1.577 eV per atom
* M_tot: 0.00 μB/cell

Cell: 5.7763 5.7763 7.0707 Å, 114.11 114.11 90.00°
With the nearest neighbours (Å) after each atom.
Fractional positions:
Tb1 0.4372 0.4372 0.0000  6 P 2.83-2.89
P1 0.6822 0.6822 0.4903  1 Tb 2.83, 4 Dy 2.89, 1 La 2.94
P2 0.1919 0.1919 0.5097  1 Tb 2.83, 4 Dy 2.89, 1 La 2.94
P3 0.9371 0.4373 0.0000  2 Dy 2.89, 2 Tb 2.89, 2 La 2.89
P4 0.4373 0.9371 0.0000  2 Dy 2.89, 2 Tb 2.89, 2 La 2.89
Dy1 0.6871 0.1871 0.5000  6 P 2.89
Dy2 0.1871 0.6871 0.5000  6 P 2.89
La1 0.9373 0.9373 0.0000  6 P 2.89-2.94

=====

Here is a relaxed structure of La3ZnN from the Alexandria database. Energies are from PBE.

* Fermi-level density of states: 20.13 states/eV per cell
* mass density: 5.7 g/cm3
* M_tot: 0.00 μB/cell
* energy relative to the lowest polymorph listed for this composition: 146.4 meV/atom

Cell: 15.0627 9.8406 9.8406 Å, 107.18 137.03 42.97°
With the nearest neighbours (Å) after each atom.
Fractional positions:
La1 0.1062 0.2975 0.2141  1 N 2.25
La2 0.9822 0.3295 0.4663  3 N 2.35-2.46
La3 0.8938 0.7025 0.7859  1 N 2.25
La4 0.3789 0.4213 0.4946  2 Zn 3.02-3.07
La5 0.1211 0.9946 0.9213  2 Zn 3.02-3.07
La6 0.8789 0.0054 0.0787  2 Zn 3.02-3.07
La7 0.4822 0.0337 0.1705  3 N 2.35-2.46
La8 0.3938 0.7141 0.7975  1 N 2.25
La9 0.5178 0.9663 0.8295  3 N 2.35-2.46
La10 0.6211 0.5787 0.5054  2 Zn 3.02-3.07
La11 0.6062 0.2859 0.2025  1 N 2.25
La12 0.0178 0.6705 0.5337  3 N 2.35-2.46
Zn1 0.2500 0.8680 0.3680  1 Zn 2.90, 4 La 3.02-3.23
Zn2 0.7500 0.3800 0.8800  1 Zn 2.90, 4 La 3.07-3.11
Zn3 0.7500 0.1320 0.6320  1 Zn 2.90, 4 La 3.02-3.23
Zn4 0.2500 0.6200 0.1200  1 Zn 2.90, 4 La 3.07-3.11
N1 0.8596 0.6495 0.5182  4 La 2.25-2.46
N2 0.3596 0.9818 0.8505  4 La 2.25-2.46
N3 0.6404 0.0182 0.1495  4 La 2.25-2.46
N4 0.1404 0.3505 0.4818  4 La 2.25-2.46

=====

Here is a relaxed structure of BaAlTcP from the Alexandria database. Energies are from PBE.

* Fermi-level density of states: 7.52 states/eV per cell
* mass density: 4.9 g/cm3
* energy of formation from the pure elements: -0.457 eV per atom
* M_tot: 0.00 μB/cell

Cell: 3.9916 3.9916 12.4953 Å, 90.00 90.00 90.00°
With the nearest neighbours (Å) after each atom.
Fractional positions:
Tc1 0.7500 0.2500 0.0000  4 P 2.39
Tc2 0.2500 0.7500 0.0000  4 P 2.39
Ba1 0.7500 0.7500 0.2453  4 P 3.32, 4 Tc 3.66
Ba2 0.2500 0.2500 0.7547  4 P 3.32, 4 Tc 3.66
P1 0.7500 0.7500 0.8942  4 Tc 2.39
P2 0.2500 0.2500 0.1058  4 Tc 2.39
Al1 0.2500 0.7500 0.5000  4 Al 2.82
Al2 0.7500 0.2500 0.5000  4 Al 2.82

=====

Here is a relaxed structure of Ba2LaHg from the Alexandria database. Energies are from PBE.

* Fermi-level density of states: 6.17 states/eV per cell
* mass density: 5.9 g/cm3
* energy of formation from the pure elements: -0.150 eV per atom
* M_tot: 0.01 μB/cell

Cell: 7.6154 7.6154 6.2705 Å, 65.68 65.68 31.53°
With the nearest neighbours (Å) after each atom.
Fractional positions:
La1 0.1995 0.1995 0.3010  2 Hg 3.22
Ba1 0.9962 0.9962 0.0034  4 Hg 3.76, 2 La 4.13-4.14, 4 Ba 4.14-4.15
Ba2 0.7909 0.7909 0.7096  2 Hg 3.60, 4 La 3.95
Hg1 0.5134 0.5134 0.4860  2 La 3.22, 2 Ba 3.60

=====

Here is a relaxed structure of B2C3 from the Alexandria database. Energies are from PBE.

* Fermi-level density of states: 1.26 states/eV per cell
* mass density: 3.0 g/cm3
* energy of formation from the pure elements: 0.334 eV per atom
* M_tot: 0.00 μB/cell
* energy relative to the lowest polymorph listed for this composition: 97.9 meV/atom

Cell: 10.5327 10.5327 10.5327 Å, 166.61 166.16 19.30°
With the nearest neighbours (Å) after each atom.
Fractional positions:
C1 0.4551 0.9551 0.5000  2 C 1.55, 2 B 1.67
C2 0.2072 0.2072 0.0000  2 C 1.49, 2 B 1.65
C3 0.0409 0.5409 0.5000  2 C 1.52, 2 B 1.64
C4 0.9976 0.9976 0.0000  4 C 1.52-1.55
C5 0.2477 0.7477 0.5000  2 C 1.49
C6 0.8529 0.3529 0.5000  4 B 1.61-1.65
B1 0.8001 0.8001 0.0000  4 C 1.65-1.67
B2 0.6562 0.1562 0.5000  2 C 1.65, 2 B 1.82
B3 0.4008 0.4008 0.0000  4 C 1.61-1.67
B4 0.5913 0.5913 0.0000  2 C 1.64, 2 B 1.82

=====

Here is a relaxed structure of TaAsPtBr2 from the Alexandria database. Energies are from PBE.

* Fermi-level density of states: 9.07 states/eV per cell
* mass density: 8.0 g/cm3
* M_tot: 0.00 μB/cell
* energy relative to the lowest polymorph listed for this composition: 0.0 meV/atom

Cell: 4.9338 4.9338 5.2302 Å, 90.00 90.00 90.00°
With the nearest neighbours (Å) after each atom.
Fractional positions:
Pt1 0.5000 0.5000 0.5000  4 As 3.49, 8 Br 3.60
Br1 0.5000 0.0000 0.0000  2 Ta 2.47
Br2 0.0000 0.5000 0.0000  2 Ta 2.47
As1 0.0000 0.0000 0.5000  2 Ta 2.62
Ta1 0.0000 0.0000 0.0000  4 Br 2.47, 2 As 2.62

=====

Here is a relaxed structure of LiNdDySe3 from the Alexandria database. Energies are from PBE.

* Fermi-level density of states: 4.04 states/eV per cell
* mass density: 6.2 g/cm3
* M_tot: 0.00 μB/cell

Cell: 4.0234 8.4620 8.8500 Å, 103.00 90.00 90.00°
With the nearest neighbours (Å) after each atom.
Fractional positions:
Se1 0.2500 0.7784 0.4999  3 Li 2.51-2.54
Se2 0.2500 0.5683 0.8262  3 Dy 2.84-2.90, 2 Nd 2.98
Se3 0.7500 0.2216 0.5001  3 Li 2.51-2.54
Se4 0.7500 0.4317 0.1738  3 Dy 2.84-2.90, 2 Nd 2.98
Se5 0.2500 0.0954 0.8700  1 Li 2.51
Se6 0.7500 0.9046 0.1300  1 Li 2.51
Li1 0.7500 0.9138 0.4154  4 Se 2.51-2.54, 2 Li 2.73
Li2 0.2500 0.0862 0.5846  4 Se 2.51-2.54, 2 Li 2.73
Nd1 0.2500 0.1893 0.2258  7 Se 2.98-3.12
Nd2 0.7500 0.8107 0.7742  7 Se 2.98-3.12
Dy1 0.7500 0.3341 0.8375  6 Se 2.84-2.92
Dy2 0.2500 0.6659 0.1625  6 Se 2.84-2.92

=====

Here is a relaxed structure of Ac3CuPb2 from the Alexandria database. Energies are from PBE.

* Fermi-level density of states: 22.87 states/eV per cell
* mass density: 9.2 g/cm3
* energy of formation from the pure elements: -0.420 eV per atom
* M_tot: 0.00 μB/cell
* energy relative to the lowest polymorph listed for this composition: 0.0 meV/atom

Cell: 4.8066 13.0693 13.2975 Å, 90.00 90.00 90.00°
With the nearest neighbours (Å) after each atom.
Fractional positions:
Ac1 0.7500 0.2951 0.7763  2 Cu 3.20, 4 Pb 3.44-3.55
Ac2 0.7500 0.6220 0.9387  1 Cu 3.20, 4 Pb 3.44-3.49
Ac3 0.7500 0.8780 0.4387  1 Cu 3.20, 4 Pb 3.44-3.49
Ac4 0.7500 0.2049 0.2763  2 Cu 3.20, 4 Pb 3.44-3.55
Ac5 0.2500 0.7049 0.2237  2 Cu 3.20, 4 Pb 3.44-3.55
Ac6 0.2500 0.1220 0.5613  1 Cu 3.20, 4 Pb 3.44-3.49
Ac7 0.2500 0.4470 0.3807  5 Pb 3.48-3.52, 3 Cu 3.51
Ac8 0.7500 0.5530 0.6193  5 Pb 3.48-3.52, 3 Cu 3.51
Ac9 0.7500 0.9470 0.1193  5 Pb 3.48-3.52, 3 Cu 3.51
Ac10 0.2500 0.0530 0.8807  5 Pb 3.48-3.52, 3 Cu 3.51
Ac11 0.2500 0.7951 0.7237  2 Cu 3.20, 4 Pb 3.44-3.55
Ac12 0.2500 0.3780 0.0613  1 Cu 3.20, 4 Pb 3.44-3.49
Cu1 0.7500 0.6430 0.3703  3 Pb 2.92, 3 Ac 3.20
Cu2 0.2500 0.3570 0.6297  3 Pb 2.92, 3 Ac 3.20
Cu3 0.2500 0.1430 0.1297  3 Pb 2.92, 3 Ac 3.20
Cu4 0.7500 0.8570 0.8703  3 Pb 2.92, 3 Ac 3.20
Pb1 0.7500 0.9928 0.6961  1 Cu 2.92
Pb2 0.2500 0.4928 0.8039  1 Cu 2.92
Pb3 0.2500 0.6909 0.4860  2 Cu 2.92
Pb4 0.7500 0.1909 0.0140  2 Cu 2.92
Pb5 0.7500 0.3091 0.5140  2 Cu 2.92
Pb6 0.2500 0.8091 0.9860  2 Cu 2.92
Pb7 0.7500 0.5072 0.1961  1 Cu 2.92
Pb8 0.2500 0.0072 0.3039  1 Cu 2.92

=====

Number 1: calculated volume 28.5 A^3/atom, E_tot -2.315 eV/atom. Number 2: calculated volume 18.1 A^3/atom, E_tot -4.050 eV/atom. Number 3: calculated volume 28.5 A^3/atom, E_tot -5.669 eV/atom. Number 4: calculated volume 20.0 A^3/atom, E_tot -3.106 eV/atom. Number 5: calculated volume 24.1 A^3/atom, E_tot -6.627 eV/atom. Number 6: calculated volume 29.0 A^3/atom, E_tot -5.426 eV/atom. Number 7: calculated volume 24.9 A^3/atom, E_tot -5.817 eV/atom. Number 8: calculated volume 43.0 A^3/atom, E_tot -2.419 eV/atom. Number 9: calculated volume 6.5 A^3/atom, E_tot -7.871 eV/atom. Number 10: calculated volume 25.5 A^3/atom, E_tot -4.490 eV/atom. Number 11: calculated volume 24.5 A^3/atom, E_tot -5.294 eV/atom. Number 12: calculated volume 34.8 A^3/atom, E_tot -4.394 eV/atom.